## Ba3Al2Hg2Sb4 (PBE-GGA)

Data for an optimized crystal structure of Ba3Al2Hg2Sb4.

Values from the calculation:
Volume: 33.08 A^3/atom
Electronic total energy: -35.58 eV/cell
Space group: I4/mmm
E_form (uncorrected): -5.24 eV per formula unit

```
Ba3Al2Hg2Sb4
1.0
-0.240 -3.348 4.060
4.834 -1.746 -1.154
2.879 11.691 6.394
Ba Al Hg Sb
3 2 2 4
direct
0.000 0.000 0.000
0.184 0.184 0.368
0.816 0.816 0.632
0.449 0.449 0.899
0.551 0.551 0.101
0.321 0.321 0.642
0.679 0.679 0.358
0.405 0.905 0.810
0.905 0.405 0.810
0.095 0.595 0.190
0.595 0.095 0.190
```